--- P ---
Below is BaFe3Cl after structural relaxation, with properties calculated at the GGA-PBE level.

For the density of states at the Fermi level, the calculation gives 1.460 states/eV per atom. The value obtained for the total moment is 5.54 μB/f.u.

Geometry as CIF:
```
data_BaFe3Cl
_chemical_formula_sum 'Ba1 Fe3 Cl1'
_space_group_name_H-M_alt 'P 1'
_space_group_IT_number 1
_space_group_name_Hall 'P 1'
_cell_length_a 4.499
_cell_length_b 4.499
_cell_length_c 4.499
_cell_angle_alpha 90.00
_cell_angle_beta 90.00
_cell_angle_gamma 90.00
loop_
_atom_site_label
_atom_site_type_symbol
_atom_site_fract_x
_atom_site_fract_y
_atom_site_fract_z
_atom_site_occupancy
Ba1 Ba 0.000 0.000 0.000 1
Fe1 Fe 0.000 0.500 0.500 1
Fe2 Fe 0.500 0.000 0.500 1
Fe3 Fe 0.500 0.500 0.000 1
Cl1 Cl 0.500 0.500 0.500 1
```

--- Q ---
Below is BaFe3Cl after structural relaxation, with properties calculated at the GGA-PBE level.

For the density of states at the Fermi level, the calculation gives 2.125 states/eV per atom. The value obtained for the total moment is 10.71 μB/f.u.

Geometry as CIF:
```
data_BaFe3Cl
_chemical_formula_sum 'Ba1 Fe3 Cl1'
_space_group_name_H-M_alt 'P 1'
_space_group_IT_number 1
_space_group_name_Hall 'P 1'
_cell_length_a 5.650
_cell_length_b 5.650
_cell_length_c 5.650
_cell_angle_alpha 90.00
_cell_angle_beta 90.00
_cell_angle_gamma 90.00
loop_
_atom_site_label
_atom_site_type_symbol
_atom_site_fract_x
_atom_site_fract_y
_atom_site_fract_z
_atom_site_occupancy
Ba1 Ba 0.000 0.000 0.000 1
Fe1 Fe 0.000 0.000 0.500 1
Fe2 Fe 0.000 0.500 0.000 1
Fe3 Fe 0.500 0.000 0.000 1
Cl1 Cl 0.500 0.500 0.500 1
```

Relative energies, unit meV/atom: P 0; Q 1257

--- P ---
Below is BaFeCl3 after structural relaxation, with properties calculated at the GGA-PBE level.

For the density of states at the Fermi level, the calculation gives 0.617 states/eV per atom. The value obtained for the total moment is 4.42 μB/f.u.

Geometry as CIF:
```
data_BaFeCl3
_chemical_formula_sum 'Ba1 Fe1 Cl3'
_space_group_name_H-M_alt 'P 1'
_space_group_IT_number 1
_space_group_name_Hall 'P 1'
_cell_length_a 5.981
_cell_length_b 5.981
_cell_length_c 5.981
_cell_angle_alpha 90.00
_cell_angle_beta 90.00
_cell_angle_gamma 90.00
loop_
_atom_site_label
_atom_site_type_symbol
_atom_site_fract_x
_atom_site_fract_y
_atom_site_fract_z
_atom_site_occupancy
Ba1 Ba 0.000 0.000 0.000 1
Fe1 Fe 0.500 0.500 0.500 1
Cl1 Cl 0.000 0.000 0.500 1
Cl2 Cl 0.000 0.500 0.000 1
Cl3 Cl 0.500 0.000 0.000 1
```

--- Q ---
Below is BaFeCl3 after structural relaxation, with properties calculated at the GGA-PBE level.

For the density of states at the Fermi level, the calculation gives 1.249 states/eV per atom. The value obtained for the total moment is 3.00 μB/f.u.

Geometry as CIF:
```
data_BaFeCl3
_chemical_formula_sum 'Ba1 Fe1 Cl3'
_space_group_name_H-M_alt 'P 1'
_space_group_IT_number 1
_space_group_name_Hall 'P 1'
_cell_length_a 4.924
_cell_length_b 4.924
_cell_length_c 4.924
_cell_angle_alpha 90.00
_cell_angle_beta 90.00
_cell_angle_gamma 90.00
loop_
_atom_site_label
_atom_site_type_symbol
_atom_site_fract_x
_atom_site_fract_y
_atom_site_fract_z
_atom_site_occupancy
Ba1 Ba 0.000 0.000 0.000 1
Fe1 Fe 0.500 0.500 0.500 1
Cl1 Cl 0.000 0.500 0.500 1
Cl2 Cl 0.500 0.000 0.500 1
Cl3 Cl 0.500 0.500 0.000 1
```

Relative energies, unit meV/atom: P 648; Q 0

--- P ---
Below is BaFeSCl2 after structural relaxation, with properties calculated at the GGA-PBE level.

For the density of states at the Fermi level, the calculation gives 0.924 states/eV per atom. The value obtained for the total moment is 3.78 μB/f.u.

Geometry as CIF:
```
data_BaFeSCl2
_chemical_formula_sum 'Ba1 Fe1 S1 Cl2'
_space_group_name_H-M_alt 'P 1'
_space_group_IT_number 1
_space_group_name_Hall 'P 1'
_cell_length_a 4.973
_cell_length_b 4.973
_cell_length_c 4.768
_cell_angle_alpha 90.00
_cell_angle_beta 90.00
_cell_angle_gamma 90.00
loop_
_atom_site_label
_atom_site_type_symbol
_atom_site_fract_x
_atom_site_fract_y
_atom_site_fract_z
_atom_site_occupancy
Ba1 Ba 0.000 0.000 0.000 1
Fe1 Fe 0.500 0.500 0.500 1
S1 S 0.500 0.500 0.000 1
Cl1 Cl 0.000 0.500 0.500 1
Cl2 Cl 0.500 0.000 0.500 1
```

--- Q ---
Below is BaFeSCl2 after structural relaxation, with properties calculated at the GGA-PBE level.

For the density of states at the Fermi level, the calculation gives 2.461 states/eV per atom. The value obtained for the total moment is 3.16 μB/f.u.

Geometry as CIF:
```
data_BaFeSCl2
_chemical_formula_sum 'Ba1 Fe1 S1 Cl2'
_space_group_name_H-M_alt 'P 1'
_space_group_IT_number 1
_space_group_name_Hall 'P 1'
_cell_length_a 5.854
_cell_length_b 5.854
_cell_length_c 6.165
_cell_angle_alpha 90.00
_cell_angle_beta 90.00
_cell_angle_gamma 90.00
loop_
_atom_site_label
_atom_site_type_symbol
_atom_site_fract_x
_atom_site_fract_y
_atom_site_fract_z
_atom_site_occupancy
Ba1 Ba 0.000 0.000 0.000 1
Fe1 Fe 0.500 0.500 0.500 1
S1 S 0.000 0.000 0.500 1
Cl1 Cl 0.000 0.500 0.000 1
Cl2 Cl 0.500 0.000 0.000 1
```

Relative energies, unit meV/atom: P 0; Q 1166

--- P ---
Below is BaGaCl2 after structural relaxation, with properties calculated at the GGA-PBE level.

For the density of states at the Fermi level, the calculation gives 0.583 states/eV per atom. The value obtained for the total moment is 0.09 μB/f.u.

Geometry as CIF:
```
data_BaGaCl2
_chemical_formula_sum 'Ba1 Ga1 Cl2'
_space_group_name_H-M_alt 'P 1'
_space_group_IT_number 1
_space_group_name_Hall 'P 1'
_cell_length_a 9.422
_cell_length_b 9.422
_cell_length_c 9.422
_cell_angle_alpha 29.22
_cell_angle_beta 29.22
_cell_angle_gamma 29.22
loop_
_atom_site_label
_atom_site_type_symbol
_atom_site_fract_x
_atom_site_fract_y
_atom_site_fract_z
_atom_site_occupancy
Ba1 Ba 0.000 0.000 0.000 1
Ga1 Ga 0.500 0.500 0.500 1
Cl1 Cl 0.385 0.385 0.385 1
Cl2 Cl 0.615 0.615 0.615 1
```

--- Q ---
Below is BaGaCl2 after structural relaxation, with properties calculated at the GGA-PBE level.

For the density of states at the Fermi level, the calculation gives 0.836 states/eV per atom. The value obtained for the total moment is 0.64 μB/f.u.

Geometry as CIF:
```
data_BaGaCl2
_chemical_formula_sum 'Ba1 Ga1 Cl2'
_space_group_name_H-M_alt 'P 1'
_space_group_IT_number 1
_space_group_name_Hall 'P 1'
_cell_length_a 5.427
_cell_length_b 5.427
_cell_length_c 5.427
_cell_angle_alpha 60.00
_cell_angle_beta 60.00
_cell_angle_gamma 60.00
loop_
_atom_site_label
_atom_site_type_symbol
_atom_site_fract_x
_atom_site_fract_y
_atom_site_fract_z
_atom_site_occupancy
Ba1 Ba 0.000 0.000 0.000 1
Ga1 Ga 0.500 0.500 0.500 1
Cl1 Cl 0.250 0.250 0.250 1
Cl2 Cl 0.750 0.750 0.750 1
```

Relative energies, unit meV/atom: P 0; Q 66

--- P ---
Below is BaGa3Cl after structural relaxation, with properties calculated at the GGA-PBE level.

For the density of states at the Fermi level, the calculation gives 1.308 states/eV per atom. The value obtained for the total moment is 0.00 μB/f.u.

Geometry as CIF:
```
data_BaGa3Cl
_chemical_formula_sum 'Ba1 Ga3 Cl1'
_space_group_name_H-M_alt 'P 1'
_space_group_IT_number 1
_space_group_name_Hall 'P 1'
_cell_length_a 6.300
_cell_length_b 6.300
_cell_length_c 6.300
_cell_angle_alpha 90.00
_cell_angle_beta 90.00
_cell_angle_gamma 90.00
loop_
_atom_site_label
_atom_site_type_symbol
_atom_site_fract_x
_atom_site_fract_y
_atom_site_fract_z
_atom_site_occupancy
Ba1 Ba 0.000 0.000 0.000 1
Ga1 Ga 0.000 0.000 0.500 1
Ga2 Ga 0.000 0.500 0.000 1
Ga3 Ga 0.500 0.000 0.000 1
Cl1 Cl 0.500 0.500 0.500 1
```

--- Q ---
Below is BaGa3Cl after structural relaxation, with properties calculated at the GGA-PBE level.

For the density of states at the Fermi level, the calculation gives 0.749 states/eV per atom. The value obtained for the total moment is 0.00 μB/f.u.

Geometry as CIF:
```
data_BaGa3Cl
_chemical_formula_sum 'Ba1 Ga3 Cl1'
_space_group_name_H-M_alt 'P 1'
_space_group_IT_number 1
_space_group_name_Hall 'P 1'
_cell_length_a 5.387
_cell_length_b 5.387
_cell_length_c 5.387
_cell_angle_alpha 90.00
_cell_angle_beta 90.00
_cell_angle_gamma 90.00
loop_
_atom_site_label
_atom_site_type_symbol
_atom_site_fract_x
_atom_site_fract_y
_atom_site_fract_z
_atom_site_occupancy
Ba1 Ba 0.000 0.000 0.000 1
Ga1 Ga 0.000 0.500 0.500 1
Ga2 Ga 0.500 0.000 0.500 1
Ga3 Ga 0.500 0.500 0.000 1
Cl1 Cl 0.500 0.500 0.500 1
```

Relative energies, unit meV/atom: P 799; Q 0

--- P ---
Below is BaGaCl3 after structural relaxation, with properties calculated at the GGA-PBE level.

For the density of states at the Fermi level, the calculation gives 0.086 states/eV per atom. The value obtained for the total moment is 0.00 μB/f.u.

Geometry as CIF:
```
data_BaGaCl3
_chemical_formula_sum 'Ba1 Ga1 Cl3'
_space_group_name_H-M_alt 'P 1'
_space_group_IT_number 1
_space_group_name_Hall 'P 1'
_cell_length_a 5.398
_cell_length_b 5.398
_cell_length_c 5.398
_cell_angle_alpha 90.00
_cell_angle_beta 90.00
_cell_angle_gamma 90.00
loop_
_atom_site_label
_atom_site_type_symbol
_atom_site_fract_x
_atom_site_fract_y
_atom_site_fract_z
_atom_site_occupancy
Ba1 Ba 0.000 0.000 0.000 1
Ga1 Ga 0.500 0.500 0.500 1
Cl1 Cl 0.000 0.500 0.500 1
Cl2 Cl 0.500 0.000 0.500 1
Cl3 Cl 0.500 0.500 0.000 1
```

--- Q ---
Below is BaGaCl3 after structural relaxation, with properties calculated at the GGA-PBE level.

For the density of states at the Fermi level, the calculation gives 0.000 states/eV per atom. The value obtained for the total moment is 0.00 μB/f.u.

Geometry as CIF:
```
data_BaGaCl3
_chemical_formula_sum 'Ba1 Ga1 Cl3'
_space_group_name_H-M_alt 'P 1'
_space_group_IT_number 1
_space_group_name_Hall 'P 1'
_cell_length_a 6.001
_cell_length_b 6.001
_cell_length_c 6.001
_cell_angle_alpha 90.00
_cell_angle_beta 90.00
_cell_angle_gamma 90.00
loop_
_atom_site_label
_atom_site_type_symbol
_atom_site_fract_x
_atom_site_fract_y
_atom_site_fract_z
_atom_site_occupancy
Ba1 Ba 0.000 0.000 0.000 1
Ga1 Ga 0.500 0.500 0.500 1
Cl1 Cl 0.000 0.000 0.500 1
Cl2 Cl 0.000 0.500 0.000 1
Cl3 Cl 0.500 0.000 0.000 1
```

Relative energies, unit meV/atom: P 67; Q 0